1.
First-principles (GGA-PBE) data for a geometry-optimized LaNdAg structure, as listed in Alexandria.

The structure belongs to space group P3m1 (No. 156); the cell edges are 5.1557, 5.1557 and 3.8035 Å and the angles 90.00°, 90.00° and 120.00°. Symmetry generates all atoms from La at (0.0000, 0.0000, 0.0000), Nd at (0.6667, 0.3333, 0.6007) and Ag at (0.3333, 0.6667, 0.3282).

The value obtained for the energy of formation is -0.0362 eV/atom. The value obtained for the volume is 88 Å³/cell. As for the energy above the lowest structure with this stoichiometry: 113 meV per atom. The electronic total energy comes out at -12.7 eV/cell.

***

2.
First-principles (GGA-PBE) data for a geometry-optimized CeVGe structure, as listed in Alexandria.

The structure belongs to space group P-6m2 (No. 187); the cell edges are 4.4400, 4.4400 and 3.7735 Å and the angles 90.00°, 90.00° and 120.00°. Symmetry generates all atoms from Ce at (0.0000, 0.0000, 0.0000), V at (0.6667, 0.3333, 0.5000) and Ge at (0.3333, 0.6667, 0.5000).

The value obtained for the energy of formation is -0.2398 eV/atom. The value obtained for the volume is 64 Å³/cell. The electronic total energy comes out at -20.4 eV/cell.

***

3.
First-principles (GGA-PBE) data for a geometry-optimized Ba2GeI2O2 structure, as listed in Alexandria.

The structure belongs to space group C2/m (No. 12); the cell edges are 12.676, 4.528 and 8.080 Å and the angles 90.00°, 104.96° and 90.00°. Symmetry generates all atoms from Ba at (0.186, 0.000, 0.295), Ge at (0.000, 0.500, 0.500), I at (0.111, 0.000, 0.818) and O at (0.145, 0.500, 0.436).

The uncorrected formation energy is -1.747 eV per atom. The value obtained for the volume is 448 Å³/cell. The electronic total energy comes out at -67.4 eV/cell.

***

4.
First-principles (GGA-PBE) data for a geometry-optimized NdGaSe2 structure, as listed in Alexandria.

The structure belongs to space group P2_1/m (No. 11); the cell edges are 5.899, 4.278 and 8.247 Å and the angles 90.00°, 110.23° and 90.00°. Symmetry generates all atoms from Nd at (0.144, 0.250, 0.295), Ga at (0.281, 0.250, 0.813), Se at (0.266, 0.750, 0.072) and Se at (0.291, 0.750, 0.574).

The uncorrected formation energy is -1.290 eV per atom. The value obtained for the volume is 195 Å³/cell. The electronic total energy comes out at -39.9 eV/cell.

***

5.
First-principles (GGA-PBE) data for a geometry-optimized Tb2NdDyEr4 structure, as listed in Alexandria.

The structure belongs to space group P2/m (No. 10); the cell edges are 7.095, 7.105 and 9.981 Å and the angles 90.00°, 90.05° and 90.00°. Symmetry generates all atoms from Tb at (0.000, 0.000, 0.000), Tb at (0.000, 0.000, 0.500), Tb at (0.000, 0.500, 0.000), Tb at (0.500, 0.000, 0.000), Nd at (0.500, 0.000, 0.500), Nd at (0.500, 0.500, 0.000), Dy at (0.000, 0.500, 0.500), Dy at (0.500, 0.500, 0.500), Er at (0.248, 0.250, 0.250) and Er at (0.248, 0.250, 0.750).

The value obtained for the energy of formation is 0.0178 eV/atom. The value obtained for the volume is 503 Å³/cell. The electronic total energy comes out at -73.5 eV/cell.

***

6.
First-principles (GGA-PBE) data for a geometry-optimized SiBAu structure, as listed in Alexandria.

The structure belongs to space group Pnma (No. 62); the cell edges are 10.986, 2.716 and 5.822 Å and the angles 90.00°, 90.00° and 90.00°. Symmetry generates all atoms from Si at (0.182, 0.250, 0.129), B at (0.177, 0.750, 0.849) and Au at (0.016, 0.250, 0.737).

The uncorrected formation energy is 0.351 eV per atom. The value obtained for the volume is 174 Å³/cell. The electronic total energy comes out at -57.3 eV/cell.

***

7.
First-principles (GGA-PBE) data for a geometry-optimized PrCuSn structure, as listed in Alexandria.

The structure belongs to space group P-6m2 (No. 187); the cell edges are 4.5759, 4.5759 and 4.0053 Å and the angles 90.00°, 90.00° and 120.00°. Symmetry generates all atoms from Pr at (0.0000, 0.0000, 0.0000), Cu at (0.3333, 0.6667, 0.5000) and Sn at (0.6667, 0.3333, 0.5000).

The value obtained for the energy of formation is -0.5335 eV/atom. The value obtained for the volume is 73 Å³/cell. The electronic total energy comes out at -14.5 eV/cell.

***

8.
First-principles (GGA-PBE) data for a geometry-optimized NaCa3Cd4 structure, as listed in Alexandria.

The structure belongs to space group R-3m (No. 166, hexagonal axes); the cell edges are 5.4092, 5.4092 and 26.4196 Å and the angles 90.00°, 90.00° and 120.00°. Symmetry generates all atoms from Na at (0.0000, 0.0000, 0.0000), Ca at (0.0000, 0.0000, 0.2504), Ca at (0.0000, 0.0000, 0.5000), Cd at (0.0000, 0.0000, 0.1258) and Cd at (0.0000, 0.0000, 0.3756).

The value obtained for the energy of formation is -0.2659 eV/atom. The value obtained for the volume is 669 Å³/cell. The electronic total energy comes out at -39.3 eV/cell.

***

9.
First-principles (GGA-PBE) data for a geometry-optimized SrB2H6 structure, as listed in Alexandria.

The structure belongs to space group R3m (No. 160, hexagonal axes); the cell edges are 4.5555, 4.5555 and 16.0008 Å and the angles 90.00°, 90.00° and 120.00°. Symmetry generates all atoms from Sr at (0.0000, 0.0000, 0.0000), B at (0.0000, 0.0000, 0.6110), B at (0.0000, 0.0000, 0.7246), H at (0.1897, 0.3794, 0.2468) and H at (0.1896, 0.3791, 0.4219).

The value obtained for the volume is 288 Å³/cell. As for the energy above the lowest structure with this stoichiometry: 0 meV per atom. The electronic total energy comes out at -116.0 eV/cell.

***

10.
First-principles (GGA-PBE) data for a geometry-optimized CeErPtRh structure, as listed in Alexandria.

The structure belongs to space group Amm2 (No. 38); the cell edges are 4.222, 3.773 and 11.001 Å and the angles 90.00°, 90.00° and 90.00°. Symmetry generates all atoms from Ce at (0.000, 0.000, 0.000), Er at (0.500, 0.000, 0.276), Pt at (0.000, 0.000, 0.725) and Rh at (0.500, 0.000, 0.539).

The value obtained for the energy of formation is -1.0406 eV/atom. The value obtained for the volume is 175 Å³/cell. As for the energy above the lowest structure with this stoichiometry: 0 meV per atom. The electronic total energy comes out at -56.1 eV/cell.

***

11.
First-principles (GGA-PBE) data for a geometry-optimized TaZnOs2Pb structure, as listed in Alexandria.

The structure belongs to space group P4/mmm (No. 123); the cell edges are 4.568, 4.568 and 4.745 Å and the angles 90.00°, 90.00° and 90.00°. Symmetry generates all atoms from Ta at (0.000, 0.000, 0.000), Zn at (0.500, 0.500, 0.500), Os at (0.000, 0.500, 0.500) and Pb at (0.500, 0.500, 0.000).

The value obtained for the energy of formation is 1.8420 eV/atom. The value obtained for the volume is 99 Å³/cell. The electronic total energy comes out at -30.1 eV/cell.

***

12.
First-principles (GGA-PBE) data for a geometry-optimized PaGeRu3 structure, as listed in Alexandria.

The structure belongs to space group P6_3/mmc (No. 194); the cell edges are 6.4918, 6.4918 and 4.7043 Å and the angles 90.00°, 90.00° and 120.00°. Symmetry generates all atoms from Pa at (0.3333, 0.6667, 0.2500), Ge at (0.0000, 0.0000, 0.0000) and Ru at (0.1936, 0.3872, 0.7500).

The value obtained for the energy of formation is -0.1386 eV/atom. The value obtained for the volume is 172 Å³/cell. The electronic total energy comes out at -85.3 eV/cell.